Entry 1:
Material: Tm4GaHg3
Method: DFT, PBE
State: relaxed

a = 3.6315 Å, b = 3.6315 Å, c = 14.6189 Å
α = 90.00°, β = 90.00°, γ = 90.00°
With the nearest neighbours (Å) after each atom.
Positions (direct):
Tm (0.0000, 0.0000, 0.8829)  4 Ga 3.09, 4 Hg 3.18, 1 Tm 3.42
Tm (0.0000, 0.0000, 0.1171)  4 Ga 3.09, 4 Hg 3.18, 1 Tm 3.42
Tm (0.0000, 0.0000, 0.3722)  8 Hg 3.17-3.18
Tm (0.0000, 0.0000, 0.6278)  8 Hg 3.17-3.18
Hg (0.5000, 0.5000, 0.2452)  8 Tm 3.17-3.18
Hg (0.5000, 0.5000, 0.5000)  8 Tm 3.18
Hg (0.5000, 0.5000, 0.7548)  8 Tm 3.17-3.18
Ga (0.5000, 0.5000, 0.0000)  8 Tm 3.09

space-group type	P4/mmm
E_tot	-3.22	eV/atom
total moment	0.00	μB per cell

Entry 2:
Material: Tm6GaHg5
Method: DFT, PBE
State: relaxed

a = 5.1616 Å, b = 7.3009 Å, c = 8.9553 Å
α = 114.06°, β = 106.63°, γ = 90.00°
With the nearest neighbours (Å) after each atom.
Positions (direct):
Tm (0.8358, 0.5894, 0.6716)  1 Ga 3.12, 7 Hg 3.14-3.20
Tm (0.8358, 0.0822, 0.6715)  1 Ga 3.12, 7 Hg 3.14-3.20
Tm (0.4999, 0.7573, 0.0000)  2 Ga 3.13, 6 Hg 3.17-3.19
Tm (0.5001, 0.2427, 0.0000)  2 Ga 3.13, 6 Hg 3.17-3.19
Tm (0.1642, 0.9178, 0.3285)  1 Ga 3.12, 7 Hg 3.14-3.20
Tm (0.1642, 0.4106, 0.3284)  1 Ga 3.12, 7 Hg 3.14-3.20
Hg (0.6695, 0.1690, 0.3379)  8 Tm 3.14-3.18
Hg (0.3350, 0.3346, 0.6691)  8 Tm 3.17-3.20
Hg (0.0000, 0.5000, 0.0000)  8 Tm 3.15-3.19
Hg (0.6650, 0.6654, 0.3309)  8 Tm 3.17-3.20
Hg (0.3305, 0.8310, 0.6621)  8 Tm 3.14-3.18
Ga (0.0000, 0.0000, 0.0000)  8 Tm 3.12-3.13

space-group type	C2/m
E_tot	-3.10	eV/atom
total moment	0.00	μB per cell

Entry 3:
Material: TmGaHg
Method: DFT, PBE
State: relaxed

a = 4.4797 Å, b = 5.9724 Å, c = 5.8031 Å
α = 75.12°, β = 67.30°, γ = 67.97°
With the nearest neighbours (Å) after each atom.
Positions (direct):
Tm (0.5450, 0.7046, 0.2054)  5 Ga 3.02-3.25, 6 Hg 3.15-3.36
Tm (0.4550, 0.2954, 0.7946)  5 Ga 3.02-3.25, 6 Hg 3.15-3.36
Ga (0.1543, 0.3416, 0.3498)  1 Ga 2.53, 2 Hg 2.71
Ga (0.8457, 0.6584, 0.6502)  1 Ga 2.53, 2 Hg 2.71
Hg (0.1711, 0.9020, 0.7557)  2 Ga 2.71, 1 Hg 2.96
Hg (0.8289, 0.0980, 0.2443)  2 Ga 2.71, 1 Hg 2.96

space-group type	C2/m
E_tot	-3.06	eV/atom
total moment	0.00	μB per cell

Entry 4:
Material: Tm2Ga9Hg
Method: DFT, PBE
State: relaxed

a = 4.2148 Å, b = 4.2148 Å, c = 13.3114 Å
α = 90.00°, β = 90.00°, γ = 90.00°
With the nearest neighbours (Å) after each atom.
Positions (direct):
Tm (0.0000, 0.0000, 0.3414)  12 Ga 2.98-3.06
Tm (0.0000, 0.0000, 0.6586)  12 Ga 2.98-3.06
Ga (0.5000, 0.5000, 0.0000)  4 Hg 2.98, 8 Ga 3.13
Ga (0.5000, 0.5000, 0.3414)  4 Tm 2.98, 8 Ga 2.98-3.06
Ga (0.5000, 0.5000, 0.6586)  4 Tm 2.98, 8 Ga 2.98-3.06
Ga (0.5000, 0.0000, 0.1743)  8 Ga 2.98-3.13, 2 Tm 3.06, 2 Hg 3.13
Ga (0.5000, 0.0000, 0.5000)  8 Ga 2.98, 4 Tm 2.98
Ga (0.5000, 0.0000, 0.8257)  8 Ga 2.98-3.13, 2 Tm 3.06, 2 Hg 3.13
Ga (0.0000, 0.5000, 0.1743)  8 Ga 2.98-3.13, 2 Tm 3.06, 2 Hg 3.13
Ga (0.0000, 0.5000, 0.5000)  8 Ga 2.98, 4 Tm 2.98
Ga (0.0000, 0.5000, 0.8257)  8 Ga 2.98-3.13, 2 Tm 3.06, 2 Hg 3.13
Hg (0.0000, 0.0000, 0.0000)  12 Ga 2.98-3.13

space-group type	P4/mmm
E_tot	-3.31	eV/atom
total moment	0.00	μB per cell

Entry 5:
Material: Tm8Ga2Hg
Method: DFT, PBE
State: relaxed

a = 4.9159 Å, b = 6.9742 Å, c = 9.1341 Å
α = 102.75°, β = 105.61°, γ = 90.00°
With the nearest neighbours (Å) after each atom.
Positions (direct):
Tm (0.4068, 0.5357, 0.8135)  1 Hg 3.28, 2 Ga 3.32, 9 Tm 3.37-3.63
Tm (0.6662, 0.9577, 0.3324)  3 Ga 2.91-3.05, 1 Hg 3.01
Tm (0.8006, 0.6931, 0.6012)  3 Ga 2.93-3.13
Tm (0.9724, 0.2467, 0.9447)  1 Ga 2.99, 2 Hg 3.10
Tm (0.1994, 0.3069, 0.3988)  3 Ga 2.93-3.13
Tm (0.3338, 0.0423, 0.6676)  3 Ga 2.91-3.05, 1 Hg 3.01
Tm (0.5932, 0.4643, 0.1865)  1 Hg 3.28, 2 Ga 3.32, 9 Tm 3.37-3.63
Tm (0.0276, 0.7533, 0.0553)  1 Ga 2.99, 2 Hg 3.10
Ga (0.8057, 0.2759, 0.6113)  7 Tm 2.91-3.13
Ga (0.1943, 0.7241, 0.3887)  7 Tm 2.91-3.13
Hg (0.5000, 0.0000, 0.0000)  8 Tm 3.01-3.28

space-group type	C2/m
E_tot	-4.10	eV/atom
total moment	0.00	μB per cell

Entry 6:
Material: TmGaHg
Method: DFT, PBE
State: relaxed

a = 3.5318 Å, b = 4.6211 Å, c = 4.6211 Å
α = 120.00°, β = 90.00°, γ = 90.00°
With the nearest neighbours (Å) after each atom.
Positions (direct):
Tm (0.6668, 0.6667, 0.3333)  6 Ga 3.20, 6 Hg 3.20, 2 Tm 3.53
Hg (0.1685, 0.3333, 0.6667)  3 Ga 2.67
Ga (0.1647, 0.0000, 0.0000)  3 Hg 2.67

space-group type	P3m1
E_tot	-3.06	eV/atom
total moment	0.00	μB per cell

Entry 7:
Material: TmGa2Hg
Method: DFT, PBE
State: relaxed

a = 4.2300 Å, b = 4.4085 Å, c = 4.4085 Å
α = 90.00°, β = 90.00°, γ = 90.00°
With the nearest neighbours (Å) after each atom.
Positions (direct):
Tm (0.5000, 0.5000, 0.5000)  8 Ga 3.05, 4 Hg 3.12
Hg (0.5000, 0.0000, 0.0000)  8 Ga 3.05, 4 Tm 3.12
Ga (0.0000, 0.0000, 0.5000)  4 Tm 3.05, 4 Hg 3.05, 4 Ga 3.12
Ga (0.0000, 0.5000, 0.0000)  4 Tm 3.05, 4 Hg 3.05, 4 Ga 3.12

space-group type	P4/mmm
E_tot	-3.11	eV/atom
total moment	0.00	μB per cell

Entry 8:
Material: Tm12Ga2Hg5
Method: DFT, PBE
State: relaxed

a = 7.5657 Å, b = 8.7171 Å, c = 9.0005 Å
α = 92.32°, β = 90.00°, γ = 115.72°
With the nearest neighbours (Å) after each atom.
Positions (direct):
Tm (0.9616, 0.9232, 0.1680)  2 Ga 2.95, 1 Hg 3.02, 1 Tm 3.31
Tm (0.0533, 0.6571, 0.8708)  3 Hg 2.95-3.18, 1 Ga 2.98
Tm (0.6038, 0.6571, 0.8708)  3 Hg 2.95-3.18, 1 Ga 2.98
Tm (0.1148, 0.7137, 0.4364)  4 Hg 2.94-3.25
Tm (0.5990, 0.7137, 0.4364)  4 Hg 2.94-3.25
Tm (0.4779, 0.9559, 0.7024)  2 Ga 3.00, 2 Hg 3.14-3.19
Tm (0.5221, 0.0441, 0.2976)  2 Ga 3.00, 2 Hg 3.14-3.19
Tm (0.8852, 0.2863, 0.5636)  4 Hg 2.94-3.25
Tm (0.4010, 0.2863, 0.5636)  4 Hg 2.94-3.25
Tm (0.9467, 0.3429, 0.1292)  3 Hg 2.95-3.18, 1 Ga 2.98
Tm (0.3962, 0.3429, 0.1292)  3 Hg 2.95-3.18, 1 Ga 2.98
Tm (0.0384, 0.0768, 0.8320)  2 Ga 2.95, 1 Hg 3.02, 1 Tm 3.31
Ga (0.6766, 0.0000, 0.0000)  1 Ga 2.67, 4 Tm 2.95-2.98
Ga (0.3234, 0.0000, 0.0000)  1 Ga 2.67, 4 Tm 2.95-2.98
Hg (0.2756, 0.5512, 0.6532)  7 Tm 2.94-3.19
Hg (0.3398, 0.6797, 0.1385)  7 Tm 3.14-3.25, 2 Ga 3.15
Hg (0.0000, 0.0000, 0.5000)  6 Tm 3.01-3.02
Hg (0.6602, 0.3203, 0.8615)  7 Tm 3.14-3.25, 2 Ga 3.15
Hg (0.7244, 0.4488, 0.3468)  7 Tm 2.94-3.19

space-group type	C2/m
E_tot	-3.42	eV/atom
total moment	0.00	μB per cell

Please write out number 5 again, unchanged.
Material: Tm8Ga2Hg
Method: DFT, PBE
State: relaxed

a = 4.9159 Å, b = 6.9742 Å, c = 9.1341 Å
α = 102.75°, β = 105.61°, γ = 90.00°
With the nearest neighbours (Å) after each atom.
Positions (direct):
Tm (0.4068, 0.5357, 0.8135)  1 Hg 3.28, 2 Ga 3.32, 9 Tm 3.37-3.63
Tm (0.6662, 0.9577, 0.3324)  3 Ga 2.91-3.05, 1 Hg 3.01
Tm (0.8006, 0.6931, 0.6012)  3 Ga 2.93-3.13
Tm (0.9724, 0.2467, 0.9447)  1 Ga 2.99, 2 Hg 3.10
Tm (0.1994, 0.3069, 0.3988)  3 Ga 2.93-3.13
Tm (0.3338, 0.0423, 0.6676)  3 Ga 2.91-3.05, 1 Hg 3.01
Tm (0.5932, 0.4643, 0.1865)  1 Hg 3.28, 2 Ga 3.32, 9 Tm 3.37-3.63
Tm (0.0276, 0.7533, 0.0553)  1 Ga 2.99, 2 Hg 3.10
Ga (0.8057, 0.2759, 0.6113)  7 Tm 2.91-3.13
Ga (0.1943, 0.7241, 0.3887)  7 Tm 2.91-3.13
Hg (0.5000, 0.0000, 0.0000)  8 Tm 3.01-3.28

space-group type	C2/m
E_tot	-4.10	eV/atom
total moment	0.00	μB per cell